{
  "formula": "Re5Ni2Sn",
  "functional": "GGA-PBE",
  "state": "relaxed",
  "space_group": "Amm2",
  "volume_a3_per_cell": 114.7,
  "dft_energy_ev_per_cell": -76.0,
  "magnetic_moment_mub_per_cell": 0.0,
  "lattice": [[-0.4473, -3.8707, 2.0486], [3.6473, -2.2529, -3.4604], [5.3830, -0.0011, 1.1732]],
  "species": ["Re", "Re", "Re", "Re", "Re", "Ni", "Ni", "Sn"],
  "frac_coords": [[0.5000, 0.6704, 0.1701], [0.5000, 0.1701, 0.6704], [0.0000, 0.8191, 0.3300], [0.0000, 0.3300, 0.8191], [0.0000, 0.8291, 0.8291], [0.0000, 0.3374, 0.3374], [0.5000, 0.6688, 0.6688], [0.5000, 0.1750, 0.1750]]
}

=====

{
  "formula": "ReTcNiSn",
  "functional": "GGA-PBE",
  "state": "relaxed",
  "space_group": "F-43m",
  "volume_a3_per_cell": 60.4,
  "dft_energy_ev_per_cell": -31.2,
  "magnetic_moment_mub_per_cell": 0.0,
  "lattice": [[-1.1805, 0.2874, 4.2337], [-4.1604, -0.8259, 1.1872], [-0.9588, -3.6498, 2.2716]],
  "species": ["Ni", "Tc", "Re", "Sn"],
  "frac_coords": [[0.7500, 0.7500, 0.7500], [0.2500, 0.2500, 0.2500], [0.5000, 0.5000, 0.5000], [0.0000, 0.0000, 0.0000]]
}

=====

{
  "formula": "TaZnReNi",
  "functional": "GGA-PBE",
  "state": "relaxed",
  "space_group": "F-43m",
  "e_form_ev_per_atom": 0.21,
  "volume_a3_per_cell": 59.3,
  "magnetic_moment_mub_per_cell": 0.3,
  "lattice": [[0.0000, 3.0948, 3.0948], [3.0948, 0.0000, 3.0948], [3.0948, 3.0948, 0.0000]],
  "species": ["Re", "Zn", "Ni", "Ta"],
  "frac_coords": [[0.5000, 0.5000, 0.5000], [0.0000, 0.0000, 0.0000], [0.7500, 0.7500, 0.7500], [0.2500, 0.2500, 0.2500]]
}

=====

{
  "formula": "TmReNi",
  "functional": "GGA-PBE",
  "state": "relaxed",
  "space_group": "F-43m",
  "e_above_lowest_polymorph_ev_per_atom": 0.8645,
  "e_form_ev_per_atom": 1.35,
  "volume_a3_per_cell": 60.6,
  "magnetic_moment_mub_per_cell": 2.5,
  "lattice": [[-2.8293, -3.3559, 0.4263], [-4.3046, 0.6408, -0.7134], [-1.9246, -1.7289, -3.5715]],
  "species": ["Re", "Tm", "Ni"],
  "frac_coords": [[0.7500, 0.7500, 0.7500], [0.0000, 0.0000, 0.0000], [0.2500, 0.2500, 0.2500]]
}

=====

{
  "formula": "TmReNi",
  "functional": "GGA-PBE",
  "state": "relaxed",
  "space_group": "F-43m",
  "e_above_lowest_polymorph_ev_per_atom": 0.0000,
  "e_form_ev_per_atom": 0.49,
  "volume_a3_per_cell": 56.1,
  "magnetic_moment_mub_per_cell": 1.6,
  "lattice": [[2.9765, -0.1442, 3.0954], [-0.7239, -2.2751, 3.5723], [2.1831, -3.6313, 0.7137]],
  "species": ["Tm", "Re", "Ni"],
  "frac_coords": [[0.7500, 0.7500, 0.7500], [0.2500, 0.2500, 0.2500], [0.0000, 0.0000, 0.0000]]
}

=====

{
  "formula": "UReNi",
  "functional": "GGA-PBE",
  "state": "relaxed",
  "space_group": "F-43m",
  "e_above_lowest_polymorph_ev_per_atom": 0.0000,
  "e_form_ev_per_atom": 0.38,
  "volume_a3_per_cell": 53.9,
  "magnetic_moment_mub_per_cell": 0.0,
  "lattice": [[-3.4103, 0.8520, 2.3715], [-0.8433, 3.9954, 1.1427], [-3.3081, 2.0376, -1.6984]],
  "species": ["Ni", "U", "Re"],
  "frac_coords": [[0.0000, 0.0000, 0.0000], [0.2500, 0.2500, 0.2500], [0.7500, 0.7500, 0.7500]]
}

=====

{
  "formula": "UReNi",
  "functional": "GGA-PBE",
  "state": "relaxed",
  "space_group": "F-43m",
  "e_above_lowest_polymorph_ev_per_atom": 0.3961,
  "e_form_ev_per_atom": 0.78,
  "volume_a3_per_cell": 57.4,
  "magnetic_moment_mub_per_cell": 0.4,
  "lattice": [[0.5160, -3.7889, -2.0338], [-1.0000, -3.6971, 2.0223], [-3.4660, -2.2798, -1.2440]],
  "species": ["Re", "Ni", "U"],
  "frac_coords": [[0.7500, 0.7500, 0.7500], [0.2500, 0.2500, 0.2500], [0.0000, 0.0000, 0.0000]]
}

=====

{
  "formula": "YRe2Ni",
  "functional": "GGA-PBE",
  "state": "relaxed",
  "space_group": "F-43m",
  "e_form_ev_per_atom": 0.24,
  "volume_a3_per_cell": 64.8,
  "magnetic_moment_mub_per_cell": 0.5,
  "lattice": [[0.0000, 3.1872, 3.1872], [3.1872, 0.0000, 3.1872], [3.1872, 3.1872, 0.0000]],
  "species": ["Re", "Re", "Y", "Ni"],
  "frac_coords": [[0.7500, 0.7500, 0.7500], [0.5000, 0.5000, 0.5000], [0.0000, 0.0000, 0.0000], [0.2500, 0.2500, 0.2500]]
}

=====

{
  "formula": "ZnReNi2",
  "functional": "GGA-PBE",
  "state": "relaxed",
  "space_group": "F-43m",
  "e_form_ev_per_atom": 0.24,
  "volume_a3_per_cell": 49.7,
  "magnetic_moment_mub_per_cell": 0.3,
  "lattice": [[1.0176, -1.0295, 3.8643], [-2.4735, -2.4658, 2.1977], [1.1748, -3.8599, 0.8656]],
  "species": ["Re", "Zn", "Ni", "Ni"],
  "frac_coords": [[0.2500, 0.2500, 0.2500], [0.5000, 0.5000, 0.5000], [0.0000, 0.0000, 0.0000], [0.7500, 0.7500, 0.7500]]
}

=====

{
  "formula": "ZrRe2Ni",
  "functional": "GGA-PBE",
  "state": "relaxed",
  "space_group": "F-43m",
  "e_above_lowest_polymorph_ev_per_atom": 0.0360,
  "e_form_ev_per_atom": -0.02,
  "volume_a3_per_cell": 61.7,
  "magnetic_moment_mub_per_cell": 0.0,
  "lattice": [[3.0845, -3.1704, -0.3158], [4.0978, 0.7332, 1.5282], [1.4132, -2.0897, 3.6471]],
  "species": ["Zr", "Re", "Re", "Ni"],
  "frac_coords": [[0.2500, 0.2500, 0.2500], [0.7500, 0.7500, 0.7500], [0.0000, 0.0000, 0.0000], [0.5000, 0.5000, 0.5000]]
}

=====

{
  "formula": "Zr3Re3Ni2",
  "functional": "GGA-PBE",
  "state": "relaxed",
  "space_group": "Pm",
  "e_above_lowest_polymorph_ev_per_atom": 0.0000,
  "e_form_ev_per_atom": -0.17,
  "volume_a3_per_cell": 130.9,
  "magnetic_moment_mub_per_cell": 0.0,
  "lattice": [[-4.4764, 2.9624, -0.9906], [-1.5367, -0.9383, 4.1382], [4.2251, 3.1448, 2.2820]],
  "species": ["Zr", "Zr", "Zr", "Ni", "Ni", "Re", "Re", "Re"],
  "frac_coords": [[0.3706, 0.5000, 0.1225], [0.8393, 0.5000, 0.6208], [0.1659, 0.0000, 0.3949], [0.3420, 0.5000, 0.6548], [0.6579, 0.0000, 0.3377], [0.1238, 0.0000, 0.8737], [0.8589, 0.5000, 0.1113], [0.6417, 0.0000, 0.8843]]
}

=====

{
  "formula": "Zr3Re3Ni2",
  "functional": "GGA-PBE",
  "state": "relaxed",
  "space_group": "P-6m2",
  "e_above_lowest_polymorph_ev_per_atom": 0.3235,
  "e_form_ev_per_atom": 0.15,
  "volume_a3_per_cell": 129.4,
  "magnetic_moment_mub_per_cell": 0.0,
  "lattice": [[5.6740, 0.0000, 0.0000], [-2.8370, 4.9138, 0.0000], [0.0000, 0.0000, 4.6394]],
  "species": ["Re", "Re", "Re", "Ni", "Ni", "Zr", "Zr", "Zr"],
  "frac_coords": [[0.5071, 0.4929, 0.5000], [0.9858, 0.4929, 0.5000], [0.5071, 0.0142, 0.5000], [0.0000, 0.0000, 0.5000], [0.3333, 0.6667, 0.0000], [0.3266, 0.1633, 0.0000], [0.8367, 0.6734, 0.0000], [0.8367, 0.1633, 0.0000]]
}

=====

{
  "formula": "ZrRe2Ni",
  "functional": "GGA-PBE",
  "state": "relaxed",
  "space_group": "Amm2",
  "e_above_lowest_polymorph_ev_per_atom": 0.0009,
  "e_form_ev_per_atom": -0.05,
  "volume_a3_per_cell": 122.3,
  "magnetic_moment_mub_per_cell": 0.0,
  "lattice": [[4.4825, 0.0000, 0.0000], [0.0000, 3.0002, 4.5453], [0.0000, -3.0002, 4.5453]],
  "species": ["Ni", "Ni", "Re", "Re", "Re", "Re", "Zr", "Zr"],
  "frac_coords": [[0.5000, 0.3333, 0.3333], [0.0000, 0.6499, 0.6499], [0.5000, 0.4007, 0.8363], [0.5000, 0.8363, 0.4007], [0.5000, 0.8775, 0.8775], [0.0000, 0.1298, 0.1298], [0.0000, 0.6260, 0.1464], [0.0000, 0.1464, 0.6260]]
}

=====

{
  "formula": "Zr3Re3Ni2",
  "functional": "GGA-PBE",
  "state": "relaxed",
  "space_group": "Amm2",
  "e_above_lowest_polymorph_ev_per_atom": 0.2441,
  "e_form_ev_per_atom": 0.07,
  "volume_a3_per_cell": 131.2,
  "magnetic_moment_mub_per_cell": 0.0,
  "lattice": [[4.6232, 0.0000, 0.0000], [0.0000, 2.9410, 4.8263], [0.0000, -2.9410, 4.8263]],
  "species": ["Ni", "Ni", "Re", "Re", "Re", "Zr", "Zr", "Zr"],
  "frac_coords": [[0.5000, 0.3312, 0.3312], [0.0000, 0.6753, 0.6753], [0.5000, 0.8641, 0.3159], [0.5000, 0.3159, 0.8641], [0.0000, 0.1534, 0.1534], [0.0000, 0.6474, 0.1874], [0.5000, 0.8253, 0.8253], [0.0000, 0.1874, 0.6474]]
}

=====

{
  "formula": "ZrRe2Ni",
  "functional": "GGA-PBE",
  "state": "relaxed",
  "space_group": "Ama2",
  "e_above_lowest_polymorph_ev_per_atom": 0.0000,
  "e_form_ev_per_atom": -0.05,
  "volume_a3_per_cell": 123.0,
  "magnetic_moment_mub_per_cell": 0.0,
  "lattice": [[4.3998, 0.0000, 0.0000], [0.0000, 4.5746, 3.0567], [0.0000, -4.5746, 3.0567]],
  "species": ["Re", "Re", "Re", "Re", "Ni", "Ni", "Zr", "Zr"],
  "frac_coords": [[0.7500, 0.6413, 0.8458], [0.2500, 0.8599, 0.1198], [0.7500, 0.1198, 0.8599], [0.2500, 0.8458, 0.6413], [0.7500, 0.6611, 0.3422], [0.2500, 0.3422, 0.6611], [0.2500, 0.3831, 0.1468], [0.7500, 0.1468, 0.3831]]
}

=====

{
  "formula": "ZrRe5Ni2",
  "functional": "GGA-PBE",
  "state": "relaxed",
  "space_group": "Amm2",
  "e_form_ev_per_atom": -0.02,
  "volume_a3_per_cell": 116.2,
  "magnetic_moment_mub_per_cell": 0.0,
  "lattice": [[4.4537, 0.0000, 0.0000], [0.0000, 2.6919, 4.8480], [0.0000, -2.6919, 4.8480]],
  "species": ["Re", "Re", "Re", "Re", "Re", "Ni", "Ni", "Zr"],
  "frac_coords": [[0.5000, 0.6856, 0.1751], [0.5000, 0.1743, 0.1743], [0.0000, 0.3202, 0.8294], [0.0000, 0.8294, 0.3202], [0.5000, 0.1751, 0.6856], [0.5000, 0.6645, 0.6645], [0.0000, 0.3315, 0.3315], [0.0000, 0.8195, 0.8195]]
}

=====

{
  "formula": "NiS2",
  "functional": "GGA-PBE",
  "state": "relaxed",
  "space_group": "R-3m",
  "volume_a3_per_cell": 105.8,
  "dft_energy_ev_per_cell": -28.9,
  "magnetic_moment_mub_per_cell": 0.0,
  "lattice": [[1.6765, 0.9679, 10.8676], [-1.6765, 0.9679, 10.8676], [0.0000, -1.9358, 10.8676]],
  "species": ["S", "S", "S", "S", "Ni", "Ni"],
  "frac_coords": [[0.7852, 0.7852, 0.7852], [0.6193, 0.6193, 0.6193], [0.2148, 0.2148, 0.2148], [0.3807, 0.3807, 0.3807], [0.0829, 0.0829, 0.0829], [0.9171, 0.9171, 0.9171]]
}

=====

{
  "formula": "NiS3",
  "functional": "GGA-PBE",
  "state": "relaxed",
  "space_group": "P6_3/mmc",
  "volume_a3_per_cell": 145.7,
  "dft_energy_ev_per_cell": -33.5,
  "magnetic_moment_mub_per_cell": 0.0,
  "lattice": [[7.2783, 0.0000, 0.0000], [-3.6392, 6.3032, 0.0000], [0.0000, 0.0000, 3.1763]],
  "species": ["S", "S", "S", "S", "S", "S", "Ni", "Ni"],
  "frac_coords": [[0.2079, 0.4157, 0.2500], [0.4157, 0.2079, 0.7500], [0.7921, 0.2079, 0.7500], [0.2079, 0.7921, 0.2500], [0.5843, 0.7921, 0.2500], [0.7921, 0.5843, 0.7500], [0.6667, 0.3333, 0.2500], [0.3333, 0.6667, 0.7500]]
}

=====

{
  "formula": "NiS2",
  "functional": "GGA-PBE",
  "state": "relaxed",
  "space_group": "Fd-3m",
  "volume_a3_per_cell": 90.4,
  "dft_energy_ev_per_cell": -20.4,
  "magnetic_moment_mub_per_cell": 1.0,
  "lattice": [[1.0868, -4.8775, -0.6309], [1.6162, -2.7452, 3.9015], [-2.9852, -3.5255, 2.0073]],
  "species": ["S", "S", "S", "S", "Ni", "Ni"],
  "frac_coords": [[0.6250, 0.1250, 0.6250], [0.6250, 0.6250, 0.6250], [0.6250, 0.6250, 0.1250], [0.1250, 0.6250, 0.6250], [0.0000, 0.0000, 0.0000], [0.2500, 0.2500, 0.2500]]
}

=====

{
  "formula": "NiS3",
  "functional": "GGA-PBE",
  "state": "relaxed",
  "space_group": "Pm-3m",
  "volume_a3_per_cell": 59.7,
  "dft_energy_ev_per_cell": -13.9,
  "magnetic_moment_mub_per_cell": 0.6,
  "lattice": [[3.9094, 0.0000, 0.0000], [0.0000, 3.9094, 0.0000], [0.0000, 0.0000, 3.9094]],
  "species": ["S", "S", "S", "Ni"],
  "frac_coords": [[0.5000, 0.5000, 0.0000], [0.5000, 0.0000, 0.5000], [0.0000, 0.5000, 0.5000], [0.0000, 0.0000, 0.0000]]
}